A relaxed structure of PrSc2WO8. Source: Alexandria, functional GGA+U.

Cell: 6.8524 6.8738 6.8234 Å, 90.00 90.00 90.00°
Closest atoms and distances in Å follow each position.
Space group Cmmm (No. 65)
Inequivalent atoms, fractional coordinates:
Pr1 0.0000 0.0000 0.0000  6 O 2.29-2.41
Sc1 0.0000 0.5000 0.2650  6 O 2.11-2.16
W1 0.0000 0.0000 0.5000  6 O 1.94-1.98
O1 0.0000 0.1945 0.2932  1 W 1.94, 1 Sc 2.11
O2 0.1664 0.5000 0.0000  2 Sc 2.14, 1 O 2.28, 1 Pr 2.29
O3 0.2111 0.5000 0.5000  1 W 1.98, 2 Sc 2.16

The calculation puts the density of states at the Fermi level at 5.98 states/eV/cell. As for the total energy: -8.13 eV per atom.